Record 1
Ga3ReGe: optimized geometry, PBE.

```
data_Ga3ReGe
_chemical_formula_sum 'Ga6 Re2 Ge2'
_cell_length_a 5.0849
_cell_length_b 6.5571
_cell_length_c 6.6897
_cell_angle_alpha 62.22
_cell_angle_beta 82.22
_cell_angle_gamma 71.27
_space_group_name_H-M_alt 'P 1'
_space_group_IT_number 1
loop_
_space_group_symop_operation_xyz
'x,y,z'
loop_
_atom_site_label
_atom_site_fract_x
_atom_site_fract_y
_atom_site_fract_z
_atom_site_occupancy
Ga1 0.0000 0.0000 0.0000 1
Ga2 0.9999 0.1710 0.4638 1
Ga3 0.0914 0.3612 0.9560 1
Ga4 0.4167 0.7121 0.8173 1
Ga5 0.4574 0.2064 0.6283 1
Ga6 0.5592 0.1221 0.2165 1
Re1 0.2050 0.5050 0.2375 1
Re2 0.8738 0.8190 0.7747 1
Ge1 0.6380 0.6813 0.1823 1
Ge2 0.9933 0.7042 0.4727 1
```

Properties
* uncorrected energy: -5.204 eV/atom
* energy above the lowest structure with this stoichiometry: 13 meV/atom
* E_form: 0.13 eV/f.u.
* density of states at the Fermi level: 0.19 states/eV/atom

Record 2
Ga3ReGe: optimized geometry, PBE.

```
data_Ga3ReGe
_chemical_formula_sum 'Ga12 Re4 Ge4'
_cell_length_a 7.8167
_cell_length_b 5.0759
_cell_length_c 9.7975
_cell_angle_alpha 90.00
_cell_angle_beta 118.48
_cell_angle_gamma 90.00
_space_group_name_H-M_alt 'P 1 21/c 1'
_space_group_IT_number 14
loop_
_space_group_symop_operation_xyz
'x,y,z'
'-x,-y,-z'
'-x,y+1/2,-z+1/2'
'x,-y+1/2,z+1/2'
loop_
_atom_site_label
_atom_site_fract_x
_atom_site_fract_y
_atom_site_fract_z
_atom_site_occupancy
Ga1 0.0109 0.0493 0.1718 1
Ga2 0.3454 0.6513 0.9419 1
Ga3 0.3988 0.1053 0.1606 1
Re1 0.3113 0.1551 0.8561 1
Ge1 0.1601 0.5889 0.1086 1
```

Properties
* uncorrected energy: -5.217 eV/atom
* energy above the lowest structure with this stoichiometry: 0 meV/atom
* E_form: 0.06 eV/f.u.
* density of states at the Fermi level: 0.34 states/eV/atom

Record 3
Ga3ReGe: optimized geometry, PBE.

```
data_Ga3ReGe
_chemical_formula_sum 'Ga24 Re8 Ge8'
_cell_length_a 10.5477
_cell_length_b 9.2249
_cell_length_c 8.6067
_cell_angle_alpha 90.00
_cell_angle_beta 126.18
_cell_angle_gamma 90.00
_space_group_name_H-M_alt 'C 1 2/c 1'
_space_group_IT_number 15
loop_
_space_group_symop_operation_xyz
'x,y,z'
'-x,-y,-z'
'-x,y,-z+1/2'
'x,-y,z+1/2'
'x+1/2,y+1/2,z'
'-x+1/2,-y+1/2,-z'
'-x+1/2,y+1/2,-z+1/2'
'x+1/2,-y+1/2,z+1/2'
loop_
_atom_site_label
_atom_site_fract_x
_atom_site_fract_y
_atom_site_fract_z
_atom_site_occupancy
Ga1 0.1086 0.0999 0.0603 1
Ga2 0.1413 0.1527 0.4189 1
Ga3 0.2207 0.3633 0.1751 1
Re1 0.1252 0.3752 0.6020 1
Ge1 0.0000 0.2418 0.7500 1
Ge2 0.0000 0.4687 0.2500 1
```

Properties
* uncorrected energy: -5.204 eV/atom
* energy above the lowest structure with this stoichiometry: 13 meV/atom
* E_form: 0.13 eV/f.u.
* density of states at the Fermi level: 0.22 states/eV/atom

Record 4
Ga3ReGe: optimized geometry, PBE.

```
data_Ga3ReGe
_chemical_formula_sum 'Ga24 Re8 Ge8'
_cell_length_a 16.2109
_cell_length_b 10.0140
_cell_length_c 4.9710
_cell_angle_alpha 90.00
_cell_angle_beta 95.99
_cell_angle_gamma 90.00
_space_group_name_H-M_alt 'C 1 2/c 1'
_space_group_IT_number 15
loop_
_space_group_symop_operation_xyz
'x,y,z'
'-x,-y,-z'
'-x,y,-z+1/2'
'x,-y,z+1/2'
'x+1/2,y+1/2,z'
'-x+1/2,-y+1/2,-z'
'-x+1/2,y+1/2,-z+1/2'
'x+1/2,-y+1/2,z+1/2'
loop_
_atom_site_label
_atom_site_fract_x
_atom_site_fract_y
_atom_site_fract_z
_atom_site_occupancy
Ga1 0.0890 0.2354 0.2102 1
Ga2 0.1092 0.1121 0.7159 1
Ga3 0.1299 0.4210 0.6187 1
Re1 0.0000 0.2790 0.7500 1
Re2 0.0000 0.4499 0.2500 1
Ge1 0.2136 0.0717 0.2781 1
```

Properties
* uncorrected energy: -5.038 eV/atom
* energy above the lowest structure with this stoichiometry: 179 meV/atom
* E_form: 0.96 eV/f.u.
* density of states at the Fermi level: 0.38 states/eV/atom

Record 5
Ga3ReGe: optimized geometry, PBE.

```
data_Ga3ReGe
_chemical_formula_sum 'Ga6 Re2 Ge2'
_cell_length_a 4.2330
_cell_length_b 4.2330
_cell_length_c 14.6123
_cell_angle_alpha 90.00
_cell_angle_beta 90.00
_cell_angle_gamma 120.00
_space_group_name_H-M_alt 'P 63/m m c'
_space_group_IT_number 194
_space_group_name_Hall '-P 6c 2c'
loop_
_atom_site_label
_atom_site_fract_x
_atom_site_fract_y
_atom_site_fract_z
_atom_site_occupancy
Ga1 0.0000 0.0000 0.2500 1
Ga2 0.3333 0.6667 0.0810 1
Re1 0.3333 0.6667 0.2500 1
Ge1 0.0000 0.0000 0.0000 1
```

Properties
* uncorrected energy: -4.536 eV/atom
* energy above the lowest structure with this stoichiometry: 681 meV/atom
* E_form: 3.47 eV/f.u.
* density of states at the Fermi level: 0.92 states/eV/atom

Record 6
Ga3ReGe: optimized geometry, PBE.

```
data_Ga3ReGe
_chemical_formula_sum 'Ga6 Re2 Ge2'
_cell_length_a 5.0806
_cell_length_b 4.3158
_cell_length_c 8.6806
_cell_angle_alpha 90.00
_cell_angle_beta 103.71
_cell_angle_gamma 90.00
_space_group_name_H-M_alt 'P 1 21/m 1'
_space_group_IT_number 11
loop_
_space_group_symop_operation_xyz
'x,y,z'
'-x,-y,-z'
'-x,y+1/2,-z'
'x,-y+1/2,z'
loop_
_atom_site_label
_atom_site_fract_x
_atom_site_fract_y
_atom_site_fract_z
_atom_site_occupancy
Ga1 0.0993 0.2500 0.4162 1
Ga2 0.2078 0.7500 0.1963 1
Ga3 0.3762 0.2500 0.0497 1
Re1 0.0884 0.7500 0.8717 1
Ge1 0.2786 0.2500 0.7180 1
```

Properties
* uncorrected energy: -5.159 eV/atom
* energy above the lowest structure with this stoichiometry: 58 meV/atom
* E_form: 0.35 eV/f.u.
* density of states at the Fermi level: 0.24 states/eV/atom

Record 7
Ga3ReGe: optimized geometry, PBE.

```
data_Ga3ReGe
_chemical_formula_sum 'Ga12 Re4 Ge4'
_cell_length_a 4.9264
_cell_length_b 4.9264
_cell_length_c 18.0769
_cell_angle_alpha 90.00
_cell_angle_beta 90.00
_cell_angle_gamma 90.00
_space_group_name_H-M_alt 'I -4 m 2'
_space_group_IT_number 119
_space_group_name_Hall 'I -4 -2'
loop_
_atom_site_label
_atom_site_fract_x
_atom_site_fract_y
_atom_site_fract_z
_atom_site_occupancy
Ga1 0.0000 0.0000 0.1574 1
Ga2 0.0000 0.2439 0.6242 1
Re1 0.0000 0.5000 0.1847 1
Ge1 0.0000 0.0000 0.5000 1
Ge2 0.0000 0.5000 0.7500 1
```

Properties
* uncorrected energy: -4.717 eV/atom
* energy above the lowest structure with this stoichiometry: 500 meV/atom
* E_form: 2.56 eV/f.u.
* density of states at the Fermi level: 0.32 states/eV/atom

Record 8
Ga3ReGe: optimized geometry, PBE.

```
data_Ga3ReGe
_chemical_formula_sum 'Ga9 Re3 Ge3'
_cell_length_a 5.4718
_cell_length_b 5.4718
_cell_length_c 11.7517
_cell_angle_alpha 90.00
_cell_angle_beta 90.00
_cell_angle_gamma 120.00
_space_group_name_H-M_alt 'R 3 m'
_space_group_IT_number 160
_space_group_name_Hall 'R 3 -2"'
loop_
_atom_site_label
_atom_site_fract_x
_atom_site_fract_y
_atom_site_fract_z
_atom_site_occupancy
Ga1 0.1691 0.3382 0.0000 1
Re1 0.0000 0.0000 0.1648 1
Ge1 0.0000 0.0000 0.7997 1
```

Properties
* uncorrected energy: -4.884 eV/atom
* energy above the lowest structure with this stoichiometry: 333 meV/atom
* E_form: 1.73 eV/f.u.
* density of states at the Fermi level: 0.34 states/eV/atom

Record 9
Ga3ReGe: optimized geometry, PBE.

```
data_Ga3ReGe
_chemical_formula_sum 'Ga12 Re4 Ge4'
_cell_length_a 12.0662
_cell_length_b 3.8771
_cell_length_c 8.1760
_cell_angle_alpha 90.00
_cell_angle_beta 109.11
_cell_angle_gamma 90.00
_space_group_name_H-M_alt 'C 1 2/m 1'
_space_group_IT_number 12
loop_
_space_group_symop_operation_xyz
'x,y,z'
'-x,-y,-z'
'-x,y,-z'
'x,-y,z'
'x+1/2,y+1/2,z'
'-x+1/2,-y+1/2,-z'
'-x+1/2,y+1/2,-z'
'x+1/2,-y+1/2,z'
loop_
_atom_site_label
_atom_site_fract_x
_atom_site_fract_y
_atom_site_fract_z
_atom_site_occupancy
Ga1 0.0241 0.0000 0.3377 1
Ga2 0.1326 0.5000 0.9191 1
Ga3 0.2416 0.5000 0.3882 1
Re1 0.1066 0.5000 0.5954 1
Ge1 0.1610 0.0000 0.1463 1
```

Properties
* uncorrected energy: -5.129 eV/atom
* energy above the lowest structure with this stoichiometry: 88 meV/atom
* E_form: 0.50 eV/f.u.
* density of states at the Fermi level: 0.40 states/eV/atom

Record 10
Ga3ReGe: optimized geometry, PBE.

```
data_Ga3ReGe
_chemical_formula_sum 'Ga6 Re2 Ge2'
_cell_length_a 4.8676
_cell_length_b 5.1000
_cell_length_c 7.0128
_cell_angle_alpha 90.00
_cell_angle_beta 101.50
_cell_angle_gamma 90.00
_space_group_name_H-M_alt 'P 1 21/m 1'
_space_group_IT_number 11
loop_
_space_group_symop_operation_xyz
'x,y,z'
'-x,-y,-z'
'-x,y+1/2,-z'
'x,-y+1/2,z'
loop_
_atom_site_label
_atom_site_fract_x
_atom_site_fract_y
_atom_site_fract_z
_atom_site_occupancy
Ga1 0.1321 0.2500 0.4688 1
Ga2 0.3319 0.5079 0.8222 1
Re1 0.1563 0.2500 0.1025 1
Ge1 0.1935 0.7500 0.2529 1
```

Properties
* uncorrected energy: -5.083 eV/atom
* energy above the lowest structure with this stoichiometry: 134 meV/atom
* E_form: 0.73 eV/f.u.
* density of states at the Fermi level: 0.31 states/eV/atom